Arrangement A

DFT (PBE) results for an optimized crystal structure of DyHfCo2.

```
4
Lattice="3.2101 0.0000 0.0000 0.0000 3.2101 0.0000 0.0000 0.0000 6.5897" Properties=species:S:1:pos:R:3 pbc="T T T"
Hf 1.6051 1.6051 0.0000
Dy 1.6051 1.6051 3.2949
Co 0.0000 0.0000 5.1419
Co 0.0000 0.0000 1.4478
```

Properties
Magnetic moment ... 0.082 μB per atom
Space-group type ... P4/mmm, No. 123

=====

Arrangement B

DFT (PBE) results for an optimized crystal structure of DyHfCo2.

```
4
Lattice="-3.0107 0.4433 -3.4397 -4.4875 0.3605 0.9082 -2.1621 3.9980 -0.6583" Properties=species:S:1:pos:R:3 pbc="T T T"
Hf 0.0000 0.0000 0.0000
Co -7.2452 3.6014 -2.3923
Co -2.4151 1.2005 -0.7974
Dy -4.8301 2.4009 -1.5949
```

Properties
Magnetic moment ... 0.313 μB per atom
Space-group type ... Fm-3m, No. 225

=====

Stability, highest: arrangement A

=====

Arrangement A

DFT (PBE) results for an optimized crystal structure of Dy5CoHg2.

```
16
Lattice="-3.4708 0.8581 -3.8419 0.5780 -8.2705 1.2152 -9.0238 0.5865 8.2833" Properties=species:S:1:pos:R:3 pbc="T T T"
Dy -1.4359 -4.7197 0.2431
Dy -7.4333 -2.3043 2.6162
Dy -1.1243 -1.1455 0.7599
Dy -10.7924 -5.6805 4.8968
Dy -10.4808 -2.1063 5.4136
Co -9.2092 -3.9136 3.8611
Dy -3.7439 -0.9752 3.1646
Dy -7.4548 -4.2138 5.7937
Hg -8.0773 -1.2616 7.0155
Co -2.7075 -2.9123 1.7955
Dy -4.4834 -4.5216 3.0405
Hg -5.9808 -1.3979 5.0910
Dy -8.1727 -5.8508 2.4921
Hg -5.9359 -5.4281 0.5657
Dy -4.4619 -2.6122 -0.1370
Hg -3.8394 -5.5643 -1.3588
```

Properties
Magnetic moment ... 0.000 μB per atom
Space-group type ... Cmcm, No. 63

=====

Arrangement B

DFT (PBE) results for an optimized crystal structure of Dy5CoHg2.

```
16
Lattice="4.7913 0.0000 0.0000 0.0000 7.5179 0.0000 0.0000 0.0000 11.5585" Properties=species:S:1:pos:R:3 pbc="T T T"
Hg 2.3957 4.3239 1.8771
Co 0.0000 0.0000 0.0000
Dy 0.0000 3.7590 0.0000
Dy 0.0000 1.0402 9.2706
Dy 2.3957 6.1769 10.6535
Co 0.0000 3.7590 5.7793
Dy 0.0000 4.7991 8.0672
Dy 0.0000 6.4778 2.2880
Dy 0.0000 2.7188 3.4913
Hg 2.3957 6.9530 7.6564
Dy 0.0000 0.0000 5.7793
Dy 2.3957 5.0999 4.8742
Hg 2.3957 3.1940 9.6815
Dy 2.3957 2.4180 6.6843
Hg 2.3957 0.5649 3.9022
Dy 2.3957 1.3410 0.9051
```

Properties
Magnetic moment ... 0.000 μB per atom
Space-group type ... Pbam, No. 55

=====

Stability, highest: arrangement B

=====

Arrangement A

DFT (PBE) results for an optimized crystal structure of DyScCoHg.

```
4
Lattice="3.3229 0.0000 0.0000 0.0000 3.3229 0.0000 0.0000 0.0000 7.3367" Properties=species:S:1:pos:R:3 pbc="T T T"
Co 0.0000 0.0000 4.0302
Hg 0.0000 0.0000 0.6801
Sc 1.6615 1.6615 2.6110
Dy 1.6615 1.6615 5.7724
```

Properties
Magnetic moment ... 0.098 μB per atom
Space-group type ... P4mm, No. 99

=====

Arrangement B

DFT (PBE) results for an optimized crystal structure of DyScCoHg.

```
4
Lattice="4.8875 0.0000 0.0000 2.4438 4.2327 0.0000 2.4438 1.4109 3.9907" Properties=species:S:1:pos:R:3 pbc="T T T"
Co 7.3313 4.2327 2.9930
Dy 4.8875 2.8218 1.9953
Sc 0.0000 0.0000 0.0000
Hg 2.4438 1.4109 0.9977
```

Properties
Magnetic moment ... 0.140 μB per atom
Space-group type ... F-43m, No. 216

=====

Stability, highest: arrangement A

=====

Arrangement A

DFT (PBE) results for an optimized crystal structure of DyHoCo2.

```
8
Lattice="3.8517 0.0000 0.0000 0.0000 5.5175 0.0000 0.0000 0.0000 7.4613" Properties=species:S:1:pos:R:3 pbc="T T T"
Dy 1.9259 3.4957 6.1355
Co 1.9259 0.8192 7.2534
Ho 0.0000 0.7357 5.0598
Co 0.0000 1.9245 0.2047
Co 1.9259 4.6983 3.5227
Ho 0.0000 4.7818 1.3291
Co 0.0000 3.5930 3.9353
Dy 1.9259 2.0217 2.4049
```

Properties
Magnetic moment ... 0.045 μB per atom
Space-group type ... Pmc2_1, No. 26

=====

Arrangement B

DFT (PBE) results for an optimized crystal structure of DyHoCo2.

```
4
Lattice="4.7063 0.0000 0.0000 2.3532 4.0758 0.0000 2.3532 1.3586 3.8427" Properties=species:S:1:pos:R:3 pbc="T T T"
Ho 0.0000 0.0000 0.0000
Co 2.3532 1.3586 0.9607
Co 7.0595 4.0758 2.8820
Dy 4.7063 2.7172 1.9213
```

Properties
Magnetic moment ... 0.162 μB per atom
Space-group type ... Fm-3m, No. 225

=====

Stability, highest: arrangement A

=====

Arrangement A

DFT (PBE) results for an optimized crystal structure of Dy3HoCo.

```
10
Lattice="2.1590 4.8200 -4.7586 4.7201 -5.3123 0.1951 -6.3638 -2.6118 -1.8180" Properties=species:S:1:pos:R:3 pbc="T T T"
Dy 0.7998 -1.9818 -1.6148
Ho 3.5590 -4.2867 -1.6659
Co 2.5094 -1.9544 -3.4995
Dy -0.2845 -1.1222 -4.7667
Co -1.9941 -1.1496 -2.8820
Dy 0.1732 3.0375 -4.5255
Dy -2.1338 -3.6912 -2.8184
Ho -3.0437 1.1827 -4.7157
Dy 0.3421 -6.1416 -1.8561
Dy 2.6491 0.5872 -3.5631
```

Properties
Magnetic moment ... 0.057 μB per atom
Space-group type ... C2/m, No. 12

=====

Arrangement B

DFT (PBE) results for an optimized crystal structure of Dy3HoCo.

```
5
Lattice="5.2635 0.0000 0.0000 0.0000 5.2635 0.0000 0.0000 0.0000 5.2635" Properties=species:S:1:pos:R:3 pbc="T T T"
Ho 2.6318 2.6318 2.6318
Dy 0.0000 0.0000 2.6318
Dy 0.0000 2.6318 0.0000
Dy 2.6318 0.0000 0.0000
Co 0.0000 0.0000 0.0000
```

Properties
Magnetic moment ... 0.000 μB per atom
Space-group type ... Pm-3m, No. 221

=====

Stability, highest: arrangement A

=====

Arrangement A

DFT (PBE) results for an optimized crystal structure of Dy2HoCo2.

```
5
Lattice="3.5625 0.0000 1.5175 0.9307 5.2399 2.7554 -0.3591 0.1412 5.7832" Properties=species:S:1:pos:R:3 pbc="T T T"
Ho 2.2466 2.6199 2.1365
Dy 1.0148 1.0631 5.0282
Co 0.1175 0.9319 2.1943
Dy 3.1193 4.3180 5.0279
Co 4.0166 4.4492 7.8618
```

Properties
Magnetic moment ... 0.000 μB per atom
Space-group type ... C2/m, No. 12

=====

Arrangement B

DFT (PBE) results for an optimized crystal structure of Dy2HoCo2.

```
10
Lattice="3.7977 0.0000 0.0000 1.8989 6.1600 -0.0876 1.8989 0.7755 9.3237" Properties=species:S:1:pos:R:3 pbc="T T T"
Ho 3.7977 6.2473 5.8797
Ho 3.7977 0.6882 3.3564
Dy 5.6966 5.2991 8.5686
Dy 3.7977 2.8620 6.4465
Co 5.6966 1.4805 8.3280
Dy 1.8988 1.6364 0.6675
Co 5.6966 4.5141 5.0654
Dy 3.7977 4.0735 2.7896
Co 1.8989 2.4214 4.1707
Co 1.8989 5.4550 0.9082
```

Properties
Magnetic moment ... 0.000 μB per atom
Space-group type ... C2/m, No. 12

=====

Stability, highest: arrangement A